Record 1
The following is a PBE-GGA calculation of a geometry-optimized PrTmAlZn structure, from Alexandria.

The space group is F-43m (No. 216) and the conventional cell measures 7.295, 7.295 and 7.295 Å, with angles of 90.00, 90.00 and 90.00 degrees. The distinct sites, in fractional coordinates, are Pr at (0.000, 0.000, 0.000), Tm at (0.000, 0.000, 0.500), Al at (0.250, 0.250, 0.750) and Zn at (0.250, 0.250, 0.250).

Its density of states at the Fermi level is 3.28 states/eV/f.u. Its energy relative to the elements is -32.14 kJ per mole of atoms. Its energy above the most stable polymorph in this dataset is 19 meV/atom.

***

Record 2
The following is a PBE-GGA calculation of a geometry-optimized Pu2ThAs2Pd2 structure, from Alexandria.

The space group is R-3m (No. 166, hexagonal axes) and the conventional cell measures 4.4886, 4.4886 and 25.5212 Å, with angles of 90.00, 90.00 and 120.00 degrees. The distinct sites, in fractional coordinates, are Pu at (0.0000, 0.0000, 0.1407), Th at (0.0000, 0.0000, 0.0000), As at (0.0000, 0.0000, 0.2642) and Pd at (0.0000, 0.0000, 0.4201).

Its density of states at the Fermi level is 12.17 states/eV/f.u. Its energy relative to the elements is -70.63 kJ per mole of atoms.

***

Record 3
The following is a PBE-GGA calculation of a geometry-optimized HfMg2Ag structure, from Alexandria.

The space group is R-3m (No. 166, hexagonal axes) and the conventional cell measures 3.0172, 3.0172 and 32.2869 Å, with angles of 90.00, 90.00 and 120.00 degrees. The distinct sites, in fractional coordinates, are Hf at (0.0000, 0.0000, 0.0000), Mg at (0.0000, 0.0000, 0.0940) and Ag at (0.0000, 0.0000, 0.5000).

Its density of states at the Fermi level is 1.38 states/eV/f.u. Its energy relative to the elements is 19.25 kJ per mole of atoms. Its energy above the most stable polymorph in this dataset is 230 meV/atom.

***

Which of these has the highest energy relative to the elements?
HfMg2Ag

***

Look up the energy relative to the elements of the second one.
-70.63 kJ per mole of atoms

***

Please write out number 2 again, unchanged.
The following is a PBE-GGA calculation of a geometry-optimized Pu2ThAs2Pd2 structure, from Alexandria.

The space group is R-3m (No. 166, hexagonal axes) and the conventional cell measures 4.4886, 4.4886 and 25.5212 Å, with angles of 90.00, 90.00 and 120.00 degrees. The distinct sites, in fractional coordinates, are Pu at (0.0000, 0.0000, 0.1407), Th at (0.0000, 0.0000, 0.0000), As at (0.0000, 0.0000, 0.2642) and Pd at (0.0000, 0.0000, 0.4201).

Its density of states at the Fermi level is 12.17 states/eV/f.u. Its energy relative to the elements is -70.63 kJ per mole of atoms.

***

Which value of energy relative to the elements does entry 1 give?
-32.14 kJ per mole of atoms